Density functional theory data (GGA-PBE) for a relaxed structure of Li4Pd3Pb2.

The space group is C2/m (No. 12) and the conventional cell measures 9.645, 4.367 and 8.407 Å, with angles of 90.00, 118.65 and 90.00 degrees. The distinct sites, in fractional coordinates, are Li at (0.026, 0.000, 0.353), Li at (0.157, 0.500, 0.869), Pd at (0.000, 0.000, 0.000), Pd at (0.158, 0.500, 0.545) and Pb at (0.182, 0.500, 0.227).

The value obtained for the total energy is -3.79 eV/atom.

***

Density functional theory data (GGA-PBE) for a relaxed structure of LiPd5Pb.

The space group is Imm2 (No. 44) and the conventional cell measures 7.181, 8.836 and 5.528 Å, with angles of 90.00, 90.00 and 90.00 degrees. The distinct sites, in fractional coordinates, are Li at (0.000, 0.000, 0.000), Pd at (0.000, 0.250, 0.427), Pd at (0.000, 0.500, 0.201), Pd at (0.185, 0.000, 0.482) and Pb at (0.000, 0.500, 0.706).

The value obtained for the total energy is -4.16 eV/atom.

***

Density functional theory data (GGA-PBE) for a relaxed structure of Li5Pd3Pb.

The space group is C2/m (No. 12) and the conventional cell measures 7.389, 9.440 and 10.673 Å, with angles of 90.00, 102.42 and 90.00 degrees. The distinct sites, in fractional coordinates, are Li at (0.000, 0.235, 0.000), Li at (0.144, 0.254, 0.619), Li at (0.147, 0.000, 0.335), Li at (0.169, 0.000, 0.848), Pd at (0.000, 0.500, 0.000), Pd at (0.000, 0.500, 0.500), Pd at (0.163, 0.000, 0.088), Pd at (0.165, 0.000, 0.577) and Pb at (0.005, 0.500, 0.249).

The value obtained for the total energy is -3.43 eV/atom.

***

Density functional theory data (GGA-PBE) for a relaxed structure of Li5Pd4Pb.

The space group is C2/m (No. 12) and the conventional cell measures 13.293, 4.394 and 5.420 Å, with angles of 90.00, 106.69 and 90.00 degrees. The distinct sites, in fractional coordinates, are Li at (0.000, 0.000, 0.000), Li at (0.104, 0.500, 0.873), Li at (0.207, 0.000, 0.303), Pd at (0.106, 0.500, 0.370), Pd at (0.208, 0.000, 0.808) and Pb at (0.000, 0.000, 0.500).

The value obtained for the total energy is -3.80 eV/atom.

***

Computed ΔE_f, in the same sequence as the records: -0.389, 0.357, -0.224, -0.398 eV per atom.